A relaxed PaMn2Tl3O6 crystal. Source: Alexandria via LeMat-Bulk, functional PBE with a Hubbard U.

Unit cell a=5.5158 b=5.5158 c=7.6546 alpha=100.40 beta=100.40 gamma=118.17
Atoms (fractional coordinates):
1 Pa 0.0000 0.0000 0.0000
2 Mn 0.3334 0.6666 0.0000
3 Mn 0.6666 0.3334 0.0000
4 Tl 0.0000 0.0000 0.5000
5 Tl 0.3318 0.6682 0.5000
6 Tl 0.6682 0.3318 0.5000
7 O 0.0647 0.7146 0.1455
8 O 0.2854 0.9353 0.8545
9 O 0.4137 0.4137 0.1392
10 O 0.5863 0.5863 0.8608
11 O 0.7146 0.0647 0.1455
12 O 0.9353 0.2854 0.8545

E_tot = -6.55 eV/atom
Total magnetization = 0.39 μB/atom
Crystal system = monoclinic
Space-group type = C2/m, No. 12